Mg2RuCl: relaxed, GGA-PBE.

## Properties
crystal system: cubic
formation energy without anion corrections: 271 meV per atom
V: 74.38 Å³/f.u.
energy above the lowest structure with this stoichiometry: 703 meV per atom

Cell: 4.7205 4.7205 4.7205 Å, 60.00 60.00 60.00°
Last column: nearest neighbours and their distance in Å.
Atoms (fractional coordinates):
Mg  0.2500  0.2500  0.2500  4 Cl 2.89, 4 Ru 2.89
Mg  0.7500  0.7500  0.7500  4 Cl 2.89, 4 Ru 2.89
Ru  0.0000  0.0000  0.0000  8 Mg 2.89
Cl  0.5000  0.5000  0.5000  8 Mg 2.89

***

Mg2RuCl: relaxed, GGA-PBE.

## Properties
crystal system: orthorhombic
formation energy without anion corrections: -432 meV per atom
V: 74.94 Å³/f.u.
energy above the lowest structure with this stoichiometry: 0 meV per atom

Cell: 3.0603 3.2531 7.5273 Å, 90.00 90.00 90.00°
Last column: nearest neighbours and their distance in Å.
Atoms (fractional coordinates):
Mg  0.0000  0.0000  0.2171  2 Cl 2.62, 4 Ru 2.77
Mg  0.0000  0.0000  0.7829  2 Cl 2.62, 4 Ru 2.77
Ru  0.5000  0.5000  0.0000  8 Mg 2.77, 2 Ru 3.06
Cl  0.5000  0.0000  0.5000  4 Mg 2.62

***

Mg3RuCl: relaxed, GGA-PBE.

## Properties
crystal system: cubic
formation energy without anion corrections: 225 meV per atom
V: 124.76 Å³/f.u.
energy above the lowest structure with this stoichiometry: 0 meV per atom

Cell: 4.9968 4.9968 4.9968 Å, 90.00 90.00 90.00°
Last column: nearest neighbours and their distance in Å.
Atoms (fractional coordinates):
Mg  0.0000  0.0000  0.5000  2 Ru 2.50
Mg  0.0000  0.5000  0.0000  2 Ru 2.50
Mg  0.5000  0.0000  0.0000  2 Ru 2.50
Ru  0.0000  0.0000  0.0000  6 Mg 2.50
Cl  0.5000  0.5000  0.5000  12 Mg 3.53

***

Mg2RuCl: relaxed, GGA-PBE.

## Properties
crystal system: orthorhombic
formation energy without anion corrections: -114 meV per atom
V: 78.83 Å³/f.u.
energy above the lowest structure with this stoichiometry: 318 meV per atom

Cell: 6.3836 6.3836 6.3836 Å, 152.06 139.49 49.93°
Last column: nearest neighbours and their distance in Å.
Atoms (fractional coordinates):
Mg  0.0000  0.0000  0.0000  2 Ru 2.71, 2 Mg 2.97
Mg  0.6719  0.1719  0.5000  4 Ru 2.71, 2 Mg 2.97
Ru  0.1930  0.6930  0.5000  2 Cl 2.56, 6 Mg 2.71
Cl  0.3692  0.3692  0.0000  2 Ru 2.56

***

- What is the energy above the lowest structure with this stoichiometry in the first record?
  703 meV per atom